Density functional theory data (PBE-GGA) for a relaxed structure of Cu5Ni.

Structure (CIF):
```
data_Cu5Ni
_chemical_formula_sum 'Cu5 Ni1'
_cell_length_a 4.408
_cell_length_b 2.552
_cell_length_c 6.238
_cell_angle_alpha 90.00
_cell_angle_beta 90.09
_cell_angle_gamma 90.00
_symmetry_space_group_name_H-M 'P 1 2/m 1'
_symmetry_Int_Tables_number 10
loop_
_symmetry_equiv_pos_as_xyz
'x,y,z'
'-x,-y,-z'
'-x,y,-z'
'x,-y,z'
loop_
_atom_site_label
_atom_site_type_symbol
_atom_site_fract_x
_atom_site_fract_y
_atom_site_fract_z
Cu1 Cu 0.000 0.000 0.000
Cu2 Cu 0.168 0.500 0.333
Cu3 Cu 0.334 0.000 0.670
Ni1 Ni 0.500 0.500 0.000
```

Computed properties:
* crystal system: monoclinic
* energy relative to the lowest polymorph listed for this composition: 0.2 kJ/mol of atoms
* magnetization: 0.00 μB per formula unit
* ΔH_f (0 K): 0.001 eV/atom